An optimized crystal structure of Dy3HoTh2Sb6. Source: the Alexandria database, functional PBE.

a = 4.435 Å, b = 8.835 Å, c = 9.888 Å
α = 102.84°, β = 102.96°, γ = 90.00°
Atoms (fractional coordinates):
1 Dy 0.500 0.500 0.000
2 Dy 0.833 0.166 0.665
3 Dy 0.167 0.834 0.335
4 Ho 0.500 0.000 0.000
5 Th 0.835 0.669 0.671
6 Th 0.165 0.331 0.329
7 Sb 0.334 0.924 0.668
8 Sb 0.665 0.588 0.330
9 Sb 0.666 0.076 0.332
10 Sb 0.997 0.248 0.994
11 Sb 0.003 0.752 0.006
12 Sb 0.335 0.412 0.670

Results
- Formation energy without anion corrections: -1.06 eV/atom
- DOS at the Fermi energy: 0.38 states/eV/atom


An optimized crystal structure of DyHoTh2Sb5. Source: the Alexandria database, functional PBE.

a = 5.247 Å, b = 5.247 Å, c = 11.463 Å
α = 90.00°, β = 90.00°, γ = 90.00°
Atoms (fractional coordinates):
1 Dy 0.000 0.000 0.000
2 Ho 0.000 0.000 0.500
3 Th 0.500 0.500 0.300
4 Th 0.500 0.500 0.700
5 Sb 0.000 0.500 0.500
6 Sb 0.500 0.000 0.500
7 Sb 0.000 0.000 0.752
8 Sb 0.000 0.000 0.248
9 Sb 0.500 0.500 0.000

Results
- Formation energy without anion corrections: -0.20 eV/atom
- DOS at the Fermi energy: 0.63 states/eV/atom


An optimized crystal structure of DyHo2ThSb4. Source: the Alexandria database, functional PBE.

a = 4.417 Å, b = 7.627 Å, c = 7.631 Å
α = 70.50°, β = 90.00°, γ = 90.00°
Atoms (fractional coordinates):
1 Dy 0.000 0.500 0.500
2 Ho 0.000 0.000 0.000
3 Ho 0.500 0.000 0.500
4 Th 0.500 0.500 0.000
5 Sb 0.000 0.757 0.744
6 Sb 0.000 0.243 0.256
7 Sb 0.500 0.754 0.252
8 Sb 0.500 0.246 0.748

Results
- Formation energy without anion corrections: -1.08 eV/atom
- DOS at the Fermi energy: 0.21 states/eV/atom


- What is the DOS at the Fermi energy in the first record?
  0.38 states/eV/atom